Entry 1:
4
Lattice="-6.6237 -3.3213 -3.5081 0.3473 -3.3425 2.5083 -1.3324 3.6600 1.5564" Properties=species:S:1:pos:R:3 comment="KYSe2 (PBE, optimized geometry)" sg="R3m, No. 160" e_tot_ev_per_cell=-21.538 mass_density_g_cm3=3.979 pbc="T T T"
Se -4.2427 -4.9776 0.4088
Y -3.2972 -2.2374 0.4250
Se -2.3458 0.5044 0.4418
K -6.1632 -4.5442 -2.2552



Entry 2:
4
Lattice="-2.7242 -0.9895 -2.6697 3.9467 -0.9973 -3.6577 0.2470 -5.2929 1.7096" Properties=species:S:1:pos:R:3 comment="KY2Se (PBE, optimized geometry)" sg="Pmmm, No. 47" e_tot_ev_per_cell=-17.865 mass_density_g_cm3=4.092 pbc="T T T"
K -1.2386 -3.1412 -0.4800
Se 2.0969 -3.1451 -0.9740
Y 0.0000 0.0000 0.0000
Y 0.6112 -0.9934 -3.1637



Entry 3:
6
Lattice="2.4210 -5.3638 -1.0852 -3.0826 -4.9788 1.2324 -2.1133 -3.3906 -4.4551" Properties=species:S:1:pos:R:3 comment="KYSe4 (PBE, optimized geometry)" sg="F-43m, No. 216" e_tot_ev_per_cell=-22.796 mass_density_g_cm3=4.864 pbc="T T T"
Se -2.5760 -7.6355 -1.0049
Se -2.0938 -6.8453 -3.8347
Y -2.0812 -10.2999 -3.2309
Se 0.1623 -7.8271 -2.1581
Se -1.0423 -5.1584 -1.6181
K 0.0000 0.0000 0.0000



Entry 4:
4
Lattice="-4.1668 0.6737 -0.5056 1.7794 -3.5483 -1.5213 -1.5010 -3.8542 7.2340" Properties=species:S:1:pos:R:3 comment="KYSe2 (PBE, optimized geometry)" sg="P3m1, No. 156" e_tot_ev_per_cell=-21.253 mass_density_g_cm3=3.641 pbc="T T T"
Se -2.4771 -1.4844 0.5650
K -0.8667 -3.8461 2.0176
Y -1.4964 -3.8425 7.2120
Se -1.4347 -5.3046 4.7550



Entry 5:
4
Lattice="-1.0458 3.8551 -4.1544 1.7219 -6.0224 -1.9792 -3.1926 -1.8619 -0.8335" Properties=species:S:1:pos:R:3 comment="KY2Se (PBE, optimized geometry)" sg="C2/m, No. 12" e_tot_ev_per_cell=-18.035 mass_density_g_cm3=4.037 pbc="T T T"
Y 0.0000 0.0000 0.0000
K -0.7354 -3.9421 -1.4064
Se 0.3380 -1.0837 -3.0668
Y -2.1192 0.9966 -2.4939



Entry 6:
5
Lattice="5.3600 0.0000 0.0000 0.0000 5.3600 0.0000 0.0000 0.0000 5.3600" Properties=species:S:1:pos:R:3 comment="KYSe3 (PBE, optimized geometry)" sg="Pm-3m, No. 221" e_tot_ev_per_cell=-16.960 mass_density_g_cm3=3.935 pbc="T T T"
Y 2.6800 2.6800 2.6800
Se 2.6800 0.0000 0.0000
Se 0.0000 2.6800 0.0000
K 0.0000 0.0000 0.0000
Se 0.0000 0.0000 2.6800



Entry 7:
4
Lattice="-1.2421 -4.2810 4.8049 4.6409 -4.2651 1.7965 -0.5686 6.4398 -1.0778" Properties=species:S:1:pos:R:3 comment="KY2Se (PBE, optimized geometry)" sg="I4/mmm, No. 139" e_tot_ev_per_cell=-17.959 mass_density_g_cm3=3.976 pbc="T T T"
Y 0.0000 0.0000 0.0000
K 2.8859 -1.0491 2.0097
Y 1.6994 -4.2730 3.3007
Se -0.0556 -1.0571 3.5139



Entry 8:
4
Lattice="10.7905 0.5610 -0.0615 9.2595 5.5687 0.0615 -10.0207 -3.0788 2.6190" Properties=species:S:1:pos:R:3 comment="KY2Se (PBE, optimized geometry)" sg="Imm2, No. 44" e_tot_ev_per_cell=-19.515 mass_density_g_cm3=3.417 pbc="T T T"
K 8.3404 2.5498 0.0000
Y 4.8572 0.1083 1.2787
Se 5.2704 2.9726 1.3402
Y 1.5863 0.4850 0.0000



Entry 9:
4
Lattice="6.4237 0.0080 0.0000 3.5990 5.3208 0.0000 -5.0114 -2.6644 3.0085" Properties=species:S:1:pos:R:3 comment="KYSe2 (PBE, optimized geometry)" sg="I-4m2, No. 119" e_tot_ev_per_cell=-18.806 mass_density_g_cm3=4.621 pbc="T T T"
Se 1.7995 2.6604 1.5042
K 3.2118 0.0040 1.5042
Y 5.0114 2.6644 0.0000
Se 0.0000 0.0000 0.0000



Entry 10:
9
Lattice="4.0721 0.0000 0.0000 0.0000 8.1556 0.0200 -2.0361 -3.2071 7.4051" Properties=species:S:1:pos:R:3 comment="K2YZn2Se4 (PBE, optimized geometry)" sg="C2/m, No. 12" e_tot_ev_per_cell=-35.068 mass_density_g_cm3=4.140 pbc="T T T"
Se 0.0000 -1.1921 6.9638
Se 0.0000 0.4668 2.8591
K 0.0000 3.7486 1.9031
Y 0.0000 0.0000 0.0000
Se 2.0361 4.4816 4.5660
K 2.0361 1.1998 5.5220
Zn 2.0361 -1.0982 2.7644
Zn 0.0000 6.0466 4.6607
Se 2.0361 6.1406 0.4613



Entry 11:
16
Lattice="4.0983 0.0000 0.0000 -2.0492 7.1486 0.0000 0.0000 0.0000 14.5869" Properties=species:S:1:pos:R:3 comment="KY2ZnSe4 (PBE, optimized geometry)" sg="Cmcm, No. 63" e_tot_ev_per_cell=-81.592 mass_density_g_cm3=4.648 pbc="T T T"
Se 2.0492 0.9406 3.6467
Se 0.0000 3.7770 1.6441
Zn 0.0000 2.3449 3.6467
Y 2.0492 1.8161 0.7687
Y 2.0492 1.8161 6.5248
Se 0.0000 3.7770 5.6493
Zn 2.0492 4.8037 10.9402
Y 0.0000 5.3325 8.0621
K 2.0492 5.5131 3.6467
K 0.0000 1.6355 10.9402
Se 0.0000 6.2081 10.9402
Se 2.0492 3.3716 8.9376
Se 0.0000 0.0000 0.0000
Se 2.0492 3.3716 12.9428
Se 0.0000 0.0000 7.2935
Y 0.0000 5.3325 13.8183



Entry 12:
12
Lattice="-1.0038 -3.2338 2.3830 8.4146 -0.0756 3.4420 -5.5238 5.8992 5.6785" Properties=species:S:1:pos:R:3 comment="KYZnSe3 (PBE, optimized geometry)" sg="P2_1/m, No. 11" e_tot_ev_per_cell=-55.282 mass_density_g_cm3=4.036 pbc="T T T"
K 1.6856 2.0372 8.8703
Y -2.7184 2.6176 7.8028
Se 3.8729 1.8718 5.9700
Zn 4.7863 -0.1723 7.1781
K 0.2014 0.5526 2.6333
Y 4.6053 -0.0278 3.7008
Se -0.3466 4.1090 7.2286
Zn -2.8993 2.7621 4.3254
Se -1.9860 0.7181 5.5335
Se 5.9740 -1.6609 5.6582
Se 2.2336 -1.5192 4.2750
Se -4.0870 4.2507 5.8453



Entry 13:
15
Lattice="8.2457 -0.0001 0.0000 -4.1230 7.1405 -0.0301 0.0000 -4.7302 7.8546" Properties=species:S:1:pos:R:3 comment="K3Y3ZrSe8 (PBE, optimized geometry)" sg="R-3m, No. 166" e_tot_ev_per_cell=-84.406 mass_density_g_cm3=3.985 pbc="T T T"
Se 0.0000 2.3885 2.2980
Se 1.9707 -1.2341 2.3729
Y -2.0615 1.2051 3.9122
Se 4.1228 2.4929 2.3568
K 0.0000 0.0000 0.0000
Y 2.0614 1.2051 3.9122
Se 2.1521 3.6443 5.4516
Se -2.1522 3.6443 5.4516
Se 6.2750 -1.2342 2.3729
Se 0.0000 -0.0827 5.4676
Zr 0.0000 -2.3651 3.9273
K 2.0614 3.5702 -0.0151
Se 4.1229 0.0217 5.5265
Y 4.1229 -2.3652 3.9273
K -2.0615 3.5703 -0.0151



Entry 14:
12
Lattice="-1.5003 -0.6584 -3.7332 1.0924 -7.0778 3.0378 -10.3117 0.1740 4.1133" Properties=species:S:1:pos:R:3 comment="KYbZnSe3 (PBE, optimized geometry)" sg="P2_1/m, No. 11" e_tot_ev_per_cell=-42.416 mass_density_g_cm3=5.028 pbc="T T T"
K -2.4023 -3.7705 1.6299
Se -5.5978 -5.3857 3.2022
Se -5.1218 -2.1765 0.2158
K -8.3173 -3.7917 1.7880
Se -1.3573 -2.2400 -1.2859
Se -7.6905 -0.7955 3.2325
Se -3.0290 -6.7667 0.1854
Yb 0.0000 0.0000 0.0000
Zn -7.4166 -6.7117 4.1694
Se -9.3623 -5.3222 4.7038
Yb -5.1558 0.0870 2.0566
Zn -3.3030 -0.8505 -0.7515



Entry 15:
3
Lattice="5.1109 0.0000 0.0000 2.5554 4.4262 0.0000 2.5554 1.4754 4.1730" Properties=species:S:1:pos:R:3 comment="KZnSe (PBE, optimized geometry)" sg="F-43m, No. 216" e_tot_ev_per_cell=-6.925 mass_density_g_cm3=3.227 pbc="T T T"
Se 7.6663 4.4262 3.1298
K 5.1109 2.9508 2.0865
Zn 0.0000 0.0000 0.0000



Entry 16:
12
Lattice="-3.5506 1.7402 6.4337 -0.8780 -7.4999 -0.0928 8.5859 2.0878 0.5601" Properties=species:S:1:pos:R:3 comment="KZnSe (PBE, optimized geometry)" sg="Fddd, No. 70" e_tot_ev_per_cell=-29.130 mass_density_g_cm3=2.928 pbc="T T T"
Se 3.7281 -2.8697 0.4138
Zn 5.2273 -4.7790 1.1431
Se -3.4473 -4.4834 4.9358
Zn 3.4520 -3.9089 4.3600
K -0.4447 0.7047 3.9959
K 3.2657 0.2434 6.1683
K 4.5164 -0.5614 2.6444
Zn 1.3734 -2.0730 0.9094
Zn 0.9344 -5.8229 0.8631
Se 1.7654 -5.4223 3.2240
K -0.3591 -3.1105 4.2567
Se -0.9813 -1.2763 1.4051



Entry 17:
7
Lattice="4.1637 0.0000 0.0000 0.0000 8.1179 -1.1420 -2.0819 -3.3988 6.3426" Properties=species:S:1:pos:R:3 comment="K2Zn2Se3 (PBE, optimized geometry)" sg="C2/m, No. 12" e_tot_ev_per_cell=-21.564 mass_density_g_cm3=3.735 pbc="T T T"
Se 2.0819 0.9249 3.5153
Se 0.0000 0.0000 0.0000
Zn 0.0000 1.2512 2.0910
Se 0.0000 3.7942 1.6853
K 0.0000 -1.2448 5.2734
K 2.0819 5.9640 -0.0727
Zn 2.0819 3.4680 3.1097



Entry 18:
3
Lattice="-0.1461 -4.2871 -0.2624 0.5511 1.9018 3.8143 -5.5060 0.1433 0.7241" Properties=species:S:1:pos:R:3 comment="KZnSe (PBE, optimized geometry)" sg="P3m1, No. 156" e_tot_ev_per_cell=-7.343 mass_density_g_cm3=3.429 pbc="T T T"
Se -2.0346 -0.0999 2.7649
K -0.0393 0.0010 0.0052
Zn -3.0271 -2.1431 1.5059



Entry 19:
5
Lattice="-5.6578 -2.2278 1.2271 -0.3883 -2.2011 -5.7865 2.5136 -5.3546 1.8681" Properties=species:S:1:pos:R:3 comment="KZn3Se (PBE, optimized geometry)" sg="Pm-3m, No. 221" e_tot_ev_per_cell=-4.249 mass_density_g_cm3=2.186 pbc="T T T"
Se -1.7662 -4.8917 -1.3456
Zn 1.2568 -2.6773 0.9341
Zn -0.1941 -1.1006 -2.8933
Zn -2.8289 -1.1139 0.6135
K 0.0000 0.0000 0.0000



Entry 20:
5
Lattice="-0.3742 4.3844 2.5600 -0.6110 -2.5872 4.3416 5.0402 0.0119 0.7163" Properties=species:S:1:pos:R:3 comment="KZnSe3 (PBE, optimized geometry)" sg="Pm-3m, No. 221" e_tot_ev_per_cell=-13.876 mass_density_g_cm3=4.297 pbc="T T T"
Se 2.5201 0.0060 0.3582
Se -0.3055 -1.2936 2.1708
Se -0.1871 2.1922 1.2800
Zn 0.0000 0.0000 0.0000
K 2.0275 0.9046 3.8090



Entry 21:
4
Lattice="-1.6469 -3.1775 4.6146 2.8511 -5.0531 0.6642 1.5505 5.5618 -0.8752" Properties=species:S:1:pos:R:3 comment="KZn2Se (PBE, optimized geometry)" sg="I4/mmm, No. 139" e_tot_ev_per_cell=-7.334 mass_density_g_cm3=4.264 pbc="T T T"
K 2.5019 -1.8033 1.2142
Se 0.2529 -0.8655 3.1894
Zn 0.6021 -4.1153 2.6394
Zn 0.0000 0.0000 0.0000



Entry 22:
4
Lattice="7.8493 0.0005 0.0003 6.7113 4.0706 0.0003 6.7113 1.8764 3.6123" Properties=species:S:1:pos:R:3 comment="KZn2Se (PBE, optimized geometry)" sg="R-3m, No. 166" e_tot_ev_per_cell=-7.510 mass_density_g_cm3=3.581 pbc="T T T"
Zn 10.0675 2.8148 1.7099
Zn 0.5684 0.1589 0.0965
Se 15.9540 4.4606 2.7097
K 5.3180 1.4869 0.9032



Entry 23:
4
Lattice="6.1978 -0.0086 -0.0014 2.7657 5.5464 0.0014 -3.8817 -3.7402 3.0588" Properties=species:S:1:pos:R:3 comment="KZn2Se (PBE, optimized geometry)" sg="Immm, No. 71" e_tot_ev_per_cell=-7.762 mass_density_g_cm3=3.927 pbc="T T T"
Zn 3.9397 2.4340 0.0000
K 3.3989 -0.4900 1.5287
Se 1.6829 2.2876 1.5301
Zn 0.5420 0.3349 0.0000



Entry 24:
4
Lattice="-3.0700 3.8970 -1.5402 -4.1446 -3.1071 0.3897 3.1627 0.6366 4.0713" Properties=species:S:1:pos:R:3 comment="KZn2Se (PBE, optimized geometry)" sg="F-43m, No. 216" e_tot_ev_per_cell=-7.332 mass_density_g_cm3=4.171 pbc="T T T"
Se -1.7573 2.4642 0.9779
Zn 0.0000 0.0000 0.0000
Zn -2.2946 -1.0378 1.9429
K -3.6073 0.3950 -0.5753



Entry 25:
3
Lattice="6.3139 0.0039 -0.0043 5.1703 3.6253 0.0052 1.1436 0.3544 3.6041" Properties=species:S:1:pos:R:3 comment="KZnSe (PBE, optimized geometry)" sg="I4mm, No. 107" e_tot_ev_per_cell=-7.002 mass_density_g_cm3=3.696 pbc="T T T"
Zn 8.6006 2.7160 1.0057
Se 4.0581 1.2774 2.5885
K 11.4534 3.6195 0.0117



Entry 26:
8
Lattice="8.5268 0.0000 0.0000 0.0000 8.5268 0.0000 4.2634 4.2634 3.0284" Properties=species:S:1:pos:R:3 comment="KZn2Se (PBE, optimized geometry)" sg="I-42d, No. 122" e_tot_ev_per_cell=-15.402 mass_density_g_cm3=3.754 pbc="T T T"
K 4.2634 8.5268 1.5142
K 4.2634 4.2634 0.0000
Zn 7.0121 2.1317 0.7571
Se 8.5268 4.2634 1.5142
Se 0.0000 0.0000 0.0000
Zn 1.5147 6.3951 0.7571
Zn 10.6585 11.2755 2.2713
Zn 6.3951 5.7782 2.2713



Entry 27:
3
Lattice="5.3878 0.0000 0.0000 -2.6939 4.6660 0.0000 0.0000 0.0000 3.0253" Properties=species:S:1:pos:R:3 comment="KZnSe (PBE, optimized geometry)" sg="P-6m2, No. 187" e_tot_ev_per_cell=-6.667 mass_density_g_cm3=4.006 pbc="T T T"
K 0.0000 0.0000 0.0005
Zn 0.0000 3.1107 1.5132
Se 2.6939 1.5553 1.5116